No. 1
A relaxed La8Sb5Pb crystal, computed with PBE.

Computed properties:
**Uncorrected formation energy**: -14.7 eV per formula unit
**Space-group type**: I-4, No. 82

Structure (extended XYZ):
```
14
Lattice="-4.868 4.868 4.870 4.868 -4.868 4.870 4.868 4.868 -4.870" Properties=species:S:1:pos:R:3 pbc="T T T"
La 4.203 1.698 -0.539
La 1.756 -0.705 1.892
La 3.112 5.572 -2.978
La 3.170 -0.665 5.408
La 1.698 5.532 0.539
La 4.163 3.112 2.978
La 0.665 3.170 4.331
La 0.705 1.756 7.848
Sb 2.458 6.094 3.641
Sb 4.868 0.000 2.435
Sb 1.227 2.410 1.228
Sb -2.458 3.641 3.641
Sb -1.227 7.325 1.228
Pb 0.000 0.000 4.870
```


No. 2
A relaxed LiEr2Ag3 crystal, computed with PBE.

Computed properties:
**Space-group type**: P-3m1, No. 164
**Formation enthalpy at 0 K**: -247 meV/atom

Structure (extended XYZ):
```
12
Lattice="4.970 0.000 0.000 -2.485 4.304 0.000 0.000 0.000 12.137" Properties=species:S:1:pos:R:3 pbc="T T T"
Li 0.000 2.869 2.042
Li 2.485 1.435 10.095
Er 0.000 0.000 0.000
Er 0.000 0.000 6.068
Er 0.000 2.869 8.226
Er 2.485 1.435 3.911
Ag 0.000 0.000 3.000
Ag 0.000 0.000 9.136
Ag 0.000 2.869 5.079
Ag 0.000 2.869 11.249
Ag 2.485 1.435 0.888
Ag 2.485 1.435 7.058
```


Number 1: M_tot 0.00 μB/cell, total energy -5.606 eV per atom. Number 2: M_tot 0.00 μB/cell, total energy -3.512 eV per atom.